Entry 1:
VASP calculation (PBE) on a relaxed Zr2MoCl crystal.

Properties
Excess energy over the best structure of this formula in the dataset, meV/atom: 542.2

The structure in CIF format:
```
data_Zr2MoCl
_chemical_formula_sum 'Zr2 Mo1 Cl1'
_cell_length_a 4.881
_cell_length_b 4.881
_cell_length_c 3.234
_cell_angle_alpha 90.00
_cell_angle_beta 90.00
_cell_angle_gamma 97.87
_symmetry_space_group_name_H-M 'P 1'
_symmetry_Int_Tables_number 1
_symmetry_space_group_name_Hall 'P 1'
loop_
_atom_site_label
_atom_site_type_symbol
_atom_site_fract_x
_atom_site_fract_y
_atom_site_fract_z
Cl1 Cl 0.500 0.000 0.500
Zr1 Zr 0.500 0.500 0.000
Zr2 Zr 0.000 0.000 0.000
Mo1 Mo 0.000 0.500 0.500
```



Entry 2:
VASP calculation (PBE) on a relaxed Ho3Tm2Hg3 crystal.

Properties
Formation enthalpy at 0 K, meV per atom: -358

The structure in CIF format:
```
data_Ho3Tm2Hg3
_chemical_formula_sum 'Ho3 Tm2 Hg3'
_cell_length_a 3.709
_cell_length_b 5.262
_cell_length_c 11.393
_cell_angle_alpha 103.35
_cell_angle_beta 99.37
_cell_angle_gamma 90.00
_symmetry_space_group_name_H-M 'P 1'
_symmetry_Int_Tables_number 1
_symmetry_space_group_name_Hall 'P 1'
loop_
_atom_site_label
_atom_site_type_symbol
_atom_site_fract_x
_atom_site_fract_y
_atom_site_fract_z
Hg1 Hg 0.880 0.880 0.761
Ho1 Ho 0.622 0.622 0.244
Tm1 Tm 0.267 0.767 0.535
Ho2 Ho 0.500 0.000 0.000
Tm2 Tm 0.733 0.233 0.465
Ho3 Ho 0.378 0.378 0.756
Hg2 Hg 0.000 0.500 0.000
Hg3 Hg 0.120 0.120 0.239
```



Entry 3:
VASP calculation (PBE) on a relaxed Nd2Sm4Th crystal.

Properties
Excess energy over the best structure of this formula in the dataset, meV/atom: 0.0
Formation enthalpy at 0 K, meV per atom: 16

The structure in CIF format:
```
data_Nd2Sm4Th
_chemical_formula_sum 'Nd2 Sm4 Th1'
_cell_length_a 3.639
_cell_length_b 3.639
_cell_length_c 20.834
_cell_angle_alpha 84.99
_cell_angle_beta 84.99
_cell_angle_gamma 60.00
_symmetry_space_group_name_H-M 'P 1'
_symmetry_Int_Tables_number 1
_symmetry_space_group_name_Hall 'P 1'
loop_
_atom_site_label
_atom_site_type_symbol
_atom_site_fract_x
_atom_site_fract_y
_atom_site_fract_z
Th1 Th 0.000 0.000 0.000
Nd1 Nd 0.571 0.571 0.286
Sm1 Sm 0.712 0.712 0.863
Sm2 Sm 0.857 0.857 0.428
Sm3 Sm 0.143 0.143 0.572
Sm4 Sm 0.288 0.288 0.137
Nd2 Nd 0.429 0.429 0.714
```



Entry 4:
VASP calculation (PBE) on a relaxed HoCoReSi3 crystal.

The structure in CIF format:
```
data_HoCoReSi3
_chemical_formula_sum 'Ho2 Co2 Re2 Si6'
_cell_length_a 5.875
_cell_length_b 6.133
_cell_length_c 6.669
_cell_angle_alpha 117.38
_cell_angle_beta 90.00
_cell_angle_gamma 90.00
_symmetry_space_group_name_H-M 'P 1'
_symmetry_Int_Tables_number 1
_symmetry_space_group_name_Hall 'P 1'
loop_
_atom_site_label
_atom_site_type_symbol
_atom_site_fract_x
_atom_site_fract_y
_atom_site_fract_z
Ho1 Ho 0.750 0.247 0.493
Co1 Co 0.750 0.606 0.213
Co2 Co 0.250 0.394 0.787
Si1 Si 0.250 0.217 0.435
Si2 Si 0.000 0.692 0.000
Re1 Re 0.250 0.027 0.054
Ho2 Ho 0.250 0.753 0.507
Si3 Si 0.500 0.308 0.000
Si4 Si 0.000 0.308 0.000
Si5 Si 0.500 0.692 0.000
Re2 Re 0.750 0.973 0.946
Si6 Si 0.750 0.783 0.565
```



Entry 5:
VASP calculation (PBE) on a relaxed HoScRuPt crystal.

Properties
Excess energy over the best structure of this formula in the dataset, meV/atom: 53.9
Formation enthalpy at 0 K, meV per atom: -856

The structure in CIF format:
```
data_HoScRuPt
_chemical_formula_sum 'Ho1 Sc1 Ru1 Pt1'
_cell_length_a 4.723
_cell_length_b 4.723
_cell_length_c 4.723
_cell_angle_alpha 60.00
_cell_angle_beta 60.00
_cell_angle_gamma 60.00
_symmetry_space_group_name_H-M 'P 1'
_symmetry_Int_Tables_number 1
_symmetry_space_group_name_Hall 'P 1'
loop_
_atom_site_label
_atom_site_type_symbol
_atom_site_fract_x
_atom_site_fract_y
_atom_site_fract_z
Ru1 Ru 0.250 0.250 0.250
Ho1 Ho 0.500 0.500 0.500
Sc1 Sc 0.000 0.000 0.000
Pt1 Pt 0.750 0.750 0.750
```



Entry 6:
VASP calculation (PBE) on a relaxed CeAgH8Rh2 crystal.

The structure in CIF format:
```
data_CeAgH8Rh2
_chemical_formula_sum 'Ce1 Ag1 H8 Rh2'
_cell_length_a 4.934
_cell_length_b 4.934
_cell_length_c 6.161
_cell_angle_alpha 66.39
_cell_angle_beta 66.39
_cell_angle_gamma 60.00
_symmetry_space_group_name_H-M 'P 1'
_symmetry_Int_Tables_number 1
_symmetry_space_group_name_Hall 'P 1'
loop_
_atom_site_label
_atom_site_type_symbol
_atom_site_fract_x
_atom_site_fract_y
_atom_site_fract_z
Ce1 Ce 0.500 0.500 0.500
H1 H 0.806 0.806 0.581
H2 H 0.364 0.906 0.139
H3 H 0.591 0.364 0.139
Rh1 Rh 0.298 0.298 0.107
Ag1 Ag 0.000 0.000 0.000
H4 H 0.094 0.409 0.861
Rh2 Rh 0.702 0.702 0.893
H5 H 0.636 0.094 0.861
H6 H 0.409 0.636 0.861
H7 H 0.906 0.591 0.139
H8 H 0.194 0.194 0.419
```



Number 1: calculated total energy -0.5440 Ry/atom, total magnetization 0.00 μB/f.u.. Number 2: calculated total energy -0.2430 Ry/atom, total magnetization 0.00 μB/f.u.. Number 3: calculated total energy -0.3750 Ry/atom, total magnetization 0.00 μB/f.u.. Number 4: calculated total energy -0.5120 Ry/atom, total magnetization 0.00 μB/f.u.. Number 5: calculated total energy -0.5448 Ry/atom, total magnetization 0.00 μB/f.u.. Number 6: calculated total energy -0.3191 Ry/atom, total magnetization 1.09 μB/f.u..